Entry 1:
Li2OsPt: relaxed, PBE-GGA.

Cell lengths 2.576, 4.187, 5.235 Å; angles 90.00, 90.00, 90.00 degrees
Positions (direct):
Os: 0.500 0.500 0.250
Li: 0.000 0.000 0.500
Li: 0.000 0.000 0.000
Pt: 0.500 0.500 0.750

Values from the calculation:
Crystal system: orthorhombic
Uncorrected energy (Ry per atom): -0.38454

Entry 2:
Li2OsPt: relaxed, PBE-GGA.

Cell lengths 5.246, 5.246, 5.246 Å; angles 150.48, 127.38, 61.49 degrees
Positions (direct):
Li: 0.006 0.006 0.000
Li: 0.494 0.494 0.000
Os: 0.750 0.250 0.500
Pt: 0.250 0.750 0.500

Values from the calculation:
Crystal system: orthorhombic
Uncorrected energy (Ry per atom): -0.39691

| no. | energy relative to the elements (eV per atom) | E above lowest polymorph (eV per atom) | calculated volume (Å³/cell) |
| --- | --- | --- | --- |
| 1 | 0.0426 | 0.288 | 56.45 |
| 2 | -0.1257 | 0.119 | 56.05 |